# 1
PBE-GGA Er6In2Pb, optimized geometry; DFT total energy = -4.3022 eV per atom; ρ = 9.1 g/cm3
1.0
-4.9061 -1.6594 3.1133
5.1365 -5.2102 5.3174
0.6238 7.1654 6.4184
Er In Pb
12 4 2
direct
0.8970 0.9697 0.1887 Er
0.9034 0.6638 0.5633 Er
0.9367 0.6818 0.9345 Er
0.5633 0.1819 0.5655 Er
0.5966 0.1638 0.9367 Er
0.6030 0.4697 0.3113 Er
0.1030 0.0303 0.8113 Er
0.0966 0.3362 0.4367 Er
0.0633 0.3182 0.0655 Er
0.4367 0.8182 0.4345 Er
0.4034 0.8362 0.0633 Er
0.3970 0.5303 0.6887 Er
0.9220 0.3719 0.7543 In
0.5780 0.8719 0.7457 In
0.4220 0.1281 0.2543 In
0.0780 0.6281 0.2457 In
0.5000 0.5000 0.0000 Pb
0.0000 0.0000 0.5000 Pb


# 2
PBE-GGA Er2InPb, optimized geometry; DFT total energy = -4.3063 eV per atom; ρ = 10.2 g/cm3
1.0
-3.8829 0.9522 1.7805
-2.1907 -0.7438 -4.3797
-0.6503 -4.7770 1.1366
Pb In Er
1 1 2
direct
0.5000 0.5000 0.5000 Pb
0.5000 0.0000 0.0000 In
0.0000 0.0000 0.5000 Er
0.0000 0.5000 0.0000 Er


# 3
PBE-GGA Er3In2Pb, optimized geometry; DFT total energy = -4.2345 eV per atom; ρ = 9.8 g/cm3
1.0
4.3399 0.0000 0.0000
0.0000 4.6832 -1.5504
0.0000 -0.0073 7.8264
Er In Pb
3 2 1
direct
0.5000 0.5000 0.0000 Er
0.5000 0.8325 0.6649 Er
0.5000 0.1675 0.3351 Er
0.0000 0.3293 0.6587 In
0.0000 0.6707 0.3413 In
0.0000 0.0000 0.0000 Pb


# 4
PBE-GGA Er2InPb, optimized geometry; DFT total energy = -4.3262 eV per atom; ρ = 9.7 g/cm3
1.0
4.3158 0.0000 0.0000
0.0000 6.1431 -0.1178
0.0000 -3.2191 8.5372
Er In Pb
4 2 2
direct
0.7500 0.2287 0.4343 Er
0.2500 0.7713 0.5657 Er
0.2500 0.7621 0.0665 Er
0.7500 0.2379 0.9335 Er
0.7500 0.6844 0.2957 In
0.2500 0.3156 0.7043 In
0.2500 0.3110 0.2041 Pb
0.7500 0.6889 0.7959 Pb


# 5
PBE-GGA Er10In3Pb3, optimized geometry; DFT total energy = -4.5083 eV per atom; ρ = 9.6 g/cm3
1.0
-0.5725 -3.0336 5.8466
-7.6114 -3.8180 -2.7264
7.8129 -4.1244 -1.3750
Er In Pb
10 3 3
direct
0.2440 0.6667 0.3333 Er
0.2440 0.3333 0.6667 Er
0.7560 0.3333 0.6667 Er
0.7560 0.6667 0.3333 Er
0.5000 0.0000 0.7649 Er
0.5000 0.7649 0.0000 Er
0.5000 0.2351 0.2351 Er
0.0000 0.0000 0.2356 Er
0.0000 0.2356 0.0000 Er
0.0000 0.7644 0.7644 Er
0.0000 0.0000 0.6015 In
0.0000 0.6015 0.0000 In
0.0000 0.3985 0.3985 In
0.5000 0.0000 0.3992 Pb
0.5000 0.3992 0.0000 Pb
0.5000 0.6008 0.6008 Pb


# 6
PBE-GGA ErIn2Pb, optimized geometry; distance to the lowest polymorph of the same formula = 0 meV per atom; ρ = 9.6 g/cm3
1.0
-3.3751 3.6849 -0.2337
-3.1236 -2.9593 -1.5503
-1.2802 -0.9000 4.2975
Pb In Er
1 2 1
direct
0.5000 0.0000 0.0000 Pb
0.0000 0.0000 0.5000 In
0.0000 0.5000 0.0000 In
0.5000 0.5000 0.5000 Er


# 7
PBE-GGA Er12In5Pb2, optimized geometry; DFT total energy = -4.1090 eV per atom; ρ = 8.4 g/cm3
1.0
-1.0572 -3.7943 5.7404
5.8202 -3.9876 -5.7854
6.9212 5.5320 4.9312
Er In Pb
12 5 2
direct
0.8958 0.7916 0.1886 Er
0.0708 0.6412 0.8966 Er
0.5704 0.6412 0.8966 Er
0.1123 0.7044 0.4485 Er
0.5920 0.7044 0.4485 Er
0.4845 0.9689 0.6923 Er
0.5155 0.0311 0.3077 Er
0.8877 0.2956 0.5515 Er
0.4080 0.2956 0.5515 Er
0.9292 0.3588 0.1034 Er
0.4296 0.3588 0.1034 Er
0.1042 0.2084 0.8114 Er
0.2868 0.5736 0.6598 In
0.3377 0.6755 0.1755 In
0.0000 0.0000 0.5000 In
0.6623 0.3245 0.8245 In
0.7132 0.4264 0.3402 In
0.7388 0.0000 0.0000 Pb
0.2612 0.0000 0.0000 Pb


# 8
PBE-GGA ErInPb, optimized geometry; distance to the lowest polymorph of the same formula = 109 meV per atom; ρ = 9.7 g/cm3
1.0
-0.0212 5.0690 -2.6580
0.4503 1.4379 -5.5218
-6.8466 -0.3776 -0.6484
Er In Pb
2 2 2
direct
0.0002 0.0002 0.7403 Er
0.9998 0.9998 0.2597 Er
0.6625 0.6625 0.5003 In
0.3375 0.3375 0.4997 In
0.6514 0.6514 0.0006 Pb
0.3486 0.3486 0.9994 Pb


Q: What is the formula in the seventh record?
A: Er12In5Pb2


Q: The lowest ρ belongs to which entry?
A: Er12In5Pb2


Q: The highest ρ belongs to which entry?
A: number 2